[1]
Computed, not measured: crystalline Sr2BeSi at its relaxed geometry at the PBE level of DFT.

a b c (Å): 7.997 7.997 7.997
angles (deg): 151.24 148.10 43.48
Positions (direct):
Sr (0.000, 0.000, 0.000)
Sr (0.752, 0.252, 0.500)
Be (0.348, 0.848, 0.500)
Si (0.408, 0.408, 0.000)

Results
energy relative to the elements, uncorrected = -0.0591 eV per atom
calculated total energy = -3.187 eV/atom

[2]
Computed, not measured: crystalline Sr2BeSi at its relaxed geometry at the PBE level of DFT.

a b c (Å): 5.278 5.278 5.278
angles (deg): 60.00 60.00 60.00
Positions (direct):
Sr (0.000, 0.000, 0.000)
Sr (0.250, 0.250, 0.250)
Be (0.500, 0.500, 0.500)
Si (0.750, 0.750, 0.750)

Results
energy relative to the elements, uncorrected = 0.5738 eV per atom
calculated total energy = -2.554 eV/atom

[3]
Computed, not measured: crystalline SrBe2Si at its relaxed geometry at the PBE level of DFT.

a b c (Å): 4.246 4.246 4.044
angles (deg): 90.00 90.00 90.00
Positions (direct):
Sr (0.000, 0.000, 0.000)
Be (0.000, 0.500, 0.500)
Be (0.500, 0.000, 0.500)
Si (0.500, 0.500, 0.000)

Results
energy relative to the elements, uncorrected = 0.6761 eV per atom
calculated total energy = -2.963 eV/atom

[4]
Computed, not measured: crystalline SrBeSi2 at its relaxed geometry at the PBE level of DFT.

a b c (Å): 5.271 5.271 3.022
angles (deg): 90.00 90.00 113.75
Positions (direct):
Sr (0.000, 0.000, 0.000)
Be (0.500, 0.500, 0.000)
Si (0.000, 0.500, 0.500)
Si (0.500, 0.000, 0.500)

Results
energy relative to the elements, uncorrected = 0.5888 eV per atom
calculated total energy = -3.475 eV/atom

[5]
Computed, not measured: crystalline SrBeSi2 at its relaxed geometry at the PBE level of DFT.

a b c (Å): 5.174 5.174 5.174
angles (deg): 135.89 104.74 91.58
Positions (direct):
Sr (0.000, 0.000, 0.000)
Be (0.500, 0.500, 0.000)
Si (0.339, 0.839, 0.500)
Si (0.661, 0.161, 0.500)

Results
energy relative to the elements, uncorrected = 0.0119 eV per atom
calculated total energy = -4.052 eV/atom

[6]
Computed, not measured: crystalline SrBeSi at its relaxed geometry at the PBE level of DFT.

a b c (Å): 5.990 5.981 3.339
angles (deg): 73.94 73.67 32.39
Positions (direct):
Sr (0.000, 0.000, 0.000)
Be (0.285, 0.285, 0.715)
Si (0.712, 0.712, 0.288)

Results
energy relative to the elements, uncorrected = 0.2792 eV per atom
calculated total energy = -3.331 eV/atom

[7]
Computed, not measured: crystalline SrBe2Si at its relaxed geometry at the PBE level of DFT.

a b c (Å): 4.061 3.796 5.156
angles (deg): 90.00 103.68 90.00
Positions (direct):
Sr (0.000, 0.000, 0.000)
Be (0.268, 0.500, 0.583)
Be (0.478, 0.000, 0.518)
Si (0.699, 0.500, 0.401)

Results
energy relative to the elements, uncorrected = 0.1159 eV per atom
calculated total energy = -3.523 eV/atom

[8]
Computed, not measured: crystalline Sr2BeSi at its relaxed geometry at the PBE level of DFT.

a b c (Å): 3.826 3.826 9.175
angles (deg): 90.00 90.00 112.91
Positions (direct):
Sr (0.000, 0.000, 0.000)
Sr (0.500, 0.500, 0.403)
Be (0.000, 0.000, 0.663)
Si (0.500, 0.500, 0.746)

Results
energy relative to the elements, uncorrected = 0.2370 eV per atom
calculated total energy = -2.891 eV/atom